No. 1
# PBE Tl2Hg3S4, optimized geometry
data_Tl2Hg3S4
_chemical_formula_sum 'Tl8 Hg12 S16'
_symmetry_space_group_name_H-M 'C 1 2/c 1'
_symmetry_Int_Tables_number 15
_symmetry_space_group_name_Hall '-C 2yc'
_cell_length_a 12.089
_cell_length_b 6.742
_cell_length_c 13.591
_cell_angle_alpha 90.00
_cell_angle_beta 114.07
_cell_angle_gamma 90.00
loop_
_atom_site_label
_atom_site_fract_x
_atom_site_fract_y
_atom_site_fract_z
_atom_site_occupancy
Tl1 0.186 0.073 0.060 1
Hg1 0.000 0.121 0.250 1
Hg2 0.057 0.390 0.651 1
S1 0.081 0.342 0.423 1
S2 0.174 0.117 0.751 1
# total DFT energy (no corrections): -96.1 eV/cell



No. 2
# PBE TmTlHgS3, optimized geometry
data_TmTlHgS3
_chemical_formula_sum 'Tm4 Tl4 Hg4 S12'
_symmetry_space_group_name_H-M 'C 1 2/m 1'
_symmetry_Int_Tables_number 12
_symmetry_space_group_name_Hall '-C 2y'
_cell_length_a 16.852
_cell_length_b 4.010
_cell_length_c 9.228
_cell_angle_alpha 90.00
_cell_angle_beta 103.63
_cell_angle_gamma 90.00
loop_
_atom_site_label
_atom_site_fract_x
_atom_site_fract_y
_atom_site_fract_z
_atom_site_occupancy
Tm1 0.170 0.000 0.085 1
Tl1 0.142 0.000 0.567 1
Hg1 0.008 0.500 0.220 1
S1 0.000 0.000 0.000 1
S2 0.000 0.500 0.500 1
S3 0.166 0.500 0.880 1
S4 0.168 0.500 0.280 1
# total DFT energy (no corrections): -100.5 eV/cell



No. 3
# PBE TmTlHgS3, optimized geometry
data_TmTlHgS3
_chemical_formula_sum 'Tm2 Tl2 Hg2 S6'
_symmetry_space_group_name_H-M 'P 1 21/m 1'
_symmetry_Int_Tables_number 11
_symmetry_space_group_name_Hall '-P 2yb'
_cell_length_a 7.946
_cell_length_b 4.067
_cell_length_c 10.540
_cell_angle_alpha 90.00
_cell_angle_beta 108.90
_cell_angle_gamma 90.00
loop_
_atom_site_label
_atom_site_fract_x
_atom_site_fract_y
_atom_site_fract_z
_atom_site_occupancy
Tm1 0.187 0.250 0.134 1
Tl1 0.228 0.750 0.727 1
Hg1 0.420 0.750 0.382 1
S1 0.046 0.250 0.870 1
S2 0.243 0.250 0.424 1
S3 0.424 0.750 0.144 1
# total DFT energy (no corrections): -50.4 eV/cell



No. 4
# PBE TmTlHgS3, optimized geometry
data_TmTlHgS3
_chemical_formula_sum 'Tm4 Tl4 Hg4 S12'
_symmetry_space_group_name_H-M 'P n m a'
_symmetry_Int_Tables_number 62
_symmetry_space_group_name_Hall '-P 2ac 2n'
_cell_length_a 12.135
_cell_length_b 4.031
_cell_length_c 12.625
_cell_angle_alpha 90.00
_cell_angle_beta 90.00
_cell_angle_gamma 90.00
loop_
_atom_site_label
_atom_site_fract_x
_atom_site_fract_y
_atom_site_fract_z
_atom_site_occupancy
Tm1 0.045 0.250 0.154 1
Tl1 0.135 0.250 0.534 1
Hg1 0.247 0.750 0.321 1
S1 0.042 0.750 0.299 1
S2 0.086 0.250 0.934 1
S3 0.238 0.750 0.672 1
# total DFT energy (no corrections): -100.4 eV/cell



What is the formula in the second record?
TmTlHgS3